No. 1
## AlPd9Pt4 (GGA-PBE)

Data for AlPd9Pt4 after structural relaxation.

a = 7.8259 Å, b = 7.8259 Å, c = 8.4875 Å
α = 90.00°, β = 90.00°, γ = 120.00°
Closest atoms and distances in Å follow each position.
Fractional positions:
Al (0.3333, 0.6667, 0.2500)  9 Pd 2.48-2.64
Al (0.6667, 0.3333, 0.7500)  9 Pd 2.48-2.64
Pd (0.0557, 0.5279, 0.7500)  2 Pt 2.59, 1 Al 2.64
Pd (0.2098, 0.4195, 0.0348)  1 Al 2.48, 1 Pt 2.74
Pd (0.2098, 0.4195, 0.4652)  1 Al 2.48, 1 Pt 2.74
Pd (0.2098, 0.7902, 0.0348)  1 Al 2.48, 1 Pt 2.74
Pd (0.2098, 0.7902, 0.4652)  1 Al 2.48, 1 Pt 2.74
Pd (0.4195, 0.2098, 0.5348)  1 Al 2.48, 1 Pt 2.74
Pd (0.4195, 0.2098, 0.9652)  1 Al 2.48, 1 Pt 2.74
Pd (0.4721, 0.5279, 0.7500)  2 Pt 2.59, 1 Al 2.64
Pd (0.4721, 0.9443, 0.7500)  2 Pt 2.59, 1 Al 2.64
Pd (0.5279, 0.0557, 0.2500)  2 Pt 2.59, 1 Al 2.64
Pd (0.5279, 0.4721, 0.2500)  2 Pt 2.59, 1 Al 2.64
Pd (0.5805, 0.7902, 0.0348)  1 Al 2.48, 1 Pt 2.74
Pd (0.5805, 0.7902, 0.4652)  1 Al 2.48, 1 Pt 2.74
Pd (0.7902, 0.2098, 0.5348)  1 Al 2.48, 1 Pt 2.74
Pd (0.7902, 0.2098, 0.9652)  1 Al 2.48, 1 Pt 2.74
Pd (0.7902, 0.5805, 0.5348)  1 Al 2.48, 1 Pt 2.74
Pd (0.7902, 0.5805, 0.9652)  1 Al 2.48, 1 Pt 2.74
Pd (0.9443, 0.4721, 0.2500)  2 Pt 2.59, 1 Al 2.64
Pt (0.0000, 0.0000, 0.0000)  6 Pt 2.64, 6 Pd 2.86
Pt (0.0000, 0.0000, 0.5000)  6 Pt 2.64, 6 Pd 2.86
Pt (0.1153, 0.2305, 0.7500)  4 Pd 2.59-2.74, 4 Pt 2.64-2.71
Pt (0.1153, 0.8847, 0.7500)  4 Pd 2.59-2.74, 4 Pt 2.64-2.71
Pt (0.2305, 0.1153, 0.2500)  4 Pd 2.59-2.74, 4 Pt 2.64-2.71
Pt (0.7695, 0.8847, 0.7500)  4 Pd 2.59-2.74, 4 Pt 2.64-2.71
Pt (0.8847, 0.1153, 0.2500)  4 Pd 2.59-2.74, 4 Pt 2.64-2.71
Pt (0.8847, 0.7695, 0.2500)  4 Pd 2.59-2.74, 4 Pt 2.64-2.71

SG = P6_3/mmc (194)



No. 2
## Al2Pd3Pt3 (GGA-PBE)

Data for Al2Pd3Pt3 after structural relaxation.

a = 3.9135 Å, b = 3.9368 Å, c = 7.7726 Å
α = 90.00°, β = 90.00°, γ = 90.00°
Closest atoms and distances in Å follow each position.
Fractional positions:
Al (0.0000, 0.0000, 0.2505)  6 Pt 2.75-2.76, 6 Pd 2.77-2.78
Al (0.0000, 0.0000, 0.7495)  6 Pt 2.75-2.76, 6 Pd 2.77-2.78
Pd (0.0000, 0.5000, 0.0000)  4 Pd 2.75, 4 Al 2.77, 4 Pt 2.78
Pd (0.5000, 0.5000, 0.2493)  2 Pd 2.75, 6 Pt 2.76-2.77, 4 Al 2.78
Pd (0.5000, 0.5000, 0.7507)  2 Pd 2.75, 6 Pt 2.76-2.77, 4 Al 2.78
Pt (0.0000, 0.5000, 0.5000)  4 Pd 2.76, 4 Al 2.76, 4 Pt 2.78
Pt (0.5000, 0.0000, 0.0000)  4 Al 2.76, 8 Pd 2.76-2.78
Pt (0.5000, 0.0000, 0.5000)  4 Al 2.75, 4 Pd 2.77, 4 Pt 2.78

SG = Pmmm (47)



No. 3
## AlPd2Pt3 (GGA-PBE)

Data for AlPd2Pt3 after structural relaxation.

a = 7.3259 Å, b = 7.3259 Å, c = 5.3036 Å
α = 93.27°, β = 93.27°, γ = 137.41°
Closest atoms and distances in Å follow each position.
Fractional positions:
Al (0.1549, 0.8451, 0.7500)  6 Pt 2.52-2.66, 2 Pd 2.61
Al (0.8451, 0.1549, 0.2500)  6 Pt 2.52-2.66, 2 Pd 2.61
Pd (0.2351, 0.2427, 0.9235)  1 Al 2.61, 5 Pd 2.65-2.90, 4 Pt 2.68-2.88
Pd (0.2427, 0.2351, 0.4235)  1 Al 2.61, 5 Pd 2.65-2.90, 4 Pt 2.68-2.88
Pd (0.7573, 0.7649, 0.5765)  1 Al 2.61, 5 Pd 2.65-2.90, 4 Pt 2.68-2.88
Pd (0.7649, 0.7573, 0.0765)  1 Al 2.61, 5 Pd 2.65-2.90, 4 Pt 2.68-2.88
Pt (0.0602, 0.4182, 0.6948)  2 Al 2.52-2.65, 1 Pd 2.68, 3 Pt 2.70-2.75
Pt (0.3504, 0.6496, 0.2500)  2 Al 2.66, 4 Pt 2.70-2.95, 4 Pd 2.75-2.85
Pt (0.4182, 0.0602, 0.1948)  2 Al 2.52-2.65, 1 Pd 2.68, 3 Pt 2.70-2.75
Pt (0.5818, 0.9398, 0.8052)  2 Al 2.52-2.65, 1 Pd 2.68, 3 Pt 2.70-2.75
Pt (0.6496, 0.3504, 0.7500)  2 Al 2.66, 4 Pt 2.70-2.95, 4 Pd 2.75-2.85
Pt (0.9398, 0.5818, 0.3052)  2 Al 2.52-2.65, 1 Pd 2.68, 3 Pt 2.70-2.75

SG = C2/c (15)



No. 4
## AlPd2Pt (GGA-PBE)

Data for AlPd2Pt after structural relaxation.

a = 4.4041 Å, b = 4.4041 Å, c = 4.4041 Å
α = 60.00°, β = 60.00°, γ = 60.00°
Closest atoms and distances in Å follow each position.
Fractional positions:
Al (0.0000, 0.0000, 0.0000)  4 Pd 2.70, 4 Pt 2.70
Pd (0.5000, 0.5000, 0.5000)  4 Pd 2.70, 4 Pt 2.70
Pd (0.7500, 0.7500, 0.7500)  4 Al 2.70, 4 Pd 2.70
Pt (0.2500, 0.2500, 0.2500)  4 Al 2.70, 4 Pd 2.70

SG = F-43m (216)



No. 5
## Al8PdPt2 (GGA-PBE)

Data for Al8PdPt2 after structural relaxation.

a = 6.7700 Å, b = 6.7700 Å, c = 6.7700 Å
α = 141.99°, β = 110.13°, γ = 82.41°
Closest atoms and distances in Å follow each position.
Fractional positions:
Al (0.1337, 0.1337, 0.0000)  2 Pd 2.59, 2 Pt 2.70, 5 Al 2.72-2.84
Al (0.1425, 0.3503, 0.7922)  3 Pt 2.66-2.81, 3 Al 2.69-2.73, 1 Pd 2.73
Al (0.3217, 0.0000, 0.3217)  2 Pt 2.57, 7 Al 2.69-2.84
Al (0.4420, 0.6497, 0.7922)  3 Pt 2.66-2.81, 3 Al 2.69-2.73, 1 Pd 2.73
Al (0.5580, 0.3503, 0.2078)  3 Pt 2.66-2.81, 3 Al 2.69-2.73, 1 Pd 2.73
Al (0.6783, 0.0000, 0.6783)  2 Pt 2.57, 7 Al 2.69-2.84
Al (0.8575, 0.6497, 0.2078)  3 Pt 2.66-2.81, 3 Al 2.69-2.73, 1 Pd 2.73
Al (0.8663, 0.8663, 0.0000)  2 Pd 2.59, 2 Pt 2.70, 5 Al 2.72-2.84
Pd (0.0000, 0.5000, 0.5000)  8 Al 2.59-2.73
Pt (0.2869, 0.7869, 0.5000)  10 Al 2.57-2.81
Pt (0.7131, 0.2131, 0.5000)  10 Al 2.57-2.81

SG = Immm (71)



No. 6
## AlPd2Pt2 (GGA-PBE)

Data for AlPd2Pt2 after structural relaxation.

a = 4.3285 Å, b = 4.3285 Å, c = 9.7829 Å
α = 90.00°, β = 90.00°, γ = 120.00°
Closest atoms and distances in Å follow each position.
Fractional positions:
Al (0.0000, 0.0000, 0.2500)  5 Pt 2.45-2.50
Al (0.0000, 0.0000, 0.7500)  5 Pt 2.45-2.50
Pd (0.3333, 0.6667, 0.1024)  6 Pt 2.69-2.89, 3 Al 2.89, 1 Pd 2.89
Pd (0.3333, 0.6667, 0.3976)  6 Pt 2.69-2.89, 3 Al 2.89, 1 Pd 2.89
Pd (0.6667, 0.3333, 0.6024)  6 Pt 2.69-2.89, 3 Al 2.89, 1 Pd 2.89
Pd (0.6667, 0.3333, 0.8976)  6 Pt 2.69-2.89, 3 Al 2.89, 1 Pd 2.89
Pt (0.0000, 0.0000, 0.0000)  2 Al 2.45, 6 Pd 2.69
Pt (0.0000, 0.0000, 0.5000)  2 Al 2.45, 6 Pd 2.69
Pt (0.3333, 0.6667, 0.7500)  3 Al 2.50
Pt (0.6667, 0.3333, 0.2500)  3 Al 2.50

SG = P6_3/mmc (194)



No. 7
## Al3Pd2Pt (GGA-PBE)

Data for Al3Pd2Pt after structural relaxation.

a = 4.3649 Å, b = 4.3649 Å, c = 10.6306 Å
α = 90.00°, β = 90.00°, γ = 120.00°
Closest atoms and distances in Å follow each position.
Fractional positions:
Al (0.0000, 0.0000, 0.2499)  5 Pd 2.66-2.69, 3 Pt 2.68
Al (0.0000, 0.0000, 0.7501)  5 Pd 2.66-2.69, 3 Pt 2.68
Al (0.3333, 0.6667, 0.4152)  4 Pt 2.65-2.66, 4 Pd 2.68-2.69
Al (0.3333, 0.6667, 0.9150)  7 Pd 2.62-2.68, 1 Pt 2.66
Al (0.6667, 0.3333, 0.0850)  7 Pd 2.62-2.68, 1 Pt 2.66
Al (0.6667, 0.3333, 0.5848)  4 Pt 2.65-2.66, 4 Pd 2.68-2.69
Pd (0.0000, 0.0000, 0.0000)  8 Al 2.66-2.68
Pd (0.0000, 0.0000, 0.5000)  8 Al 2.66-2.68
Pd (0.3333, 0.6667, 0.1619)  8 Al 2.62-2.69
Pd (0.6667, 0.3333, 0.8381)  8 Al 2.62-2.69
Pt (0.3333, 0.6667, 0.6645)  8 Al 2.65-2.68
Pt (0.6667, 0.3333, 0.3355)  8 Al 2.65-2.68

SG = P-3m1 (164)



No. 8
## AlPd5Pt2 (GGA-PBE)

Data for AlPd5Pt2 after structural relaxation.

a = 4.7927 Å, b = 4.7927 Å, c = 14.4279 Å
α = 90.00°, β = 90.00°, γ = 131.59°
Closest atoms and distances in Å follow each position.
Fractional positions:
Al (0.1512, 0.8488, 0.7500)  5 Pd 2.44-2.65, 4 Pt 2.54
Al (0.8488, 0.1512, 0.2500)  5 Pd 2.44-2.65, 4 Pt 2.54
Pd (0.0399, 0.9601, 0.5949)  1 Al 2.44, 1 Pt 2.71
Pd (0.0399, 0.9601, 0.9051)  1 Al 2.44, 1 Pt 2.71
Pd (0.3484, 0.6516, 0.5314)  8 Pd 2.74-2.85, 3 Pt 2.80
Pd (0.3484, 0.6516, 0.9686)  8 Pd 2.74-2.85, 3 Pt 2.80
Pd (0.4474, 0.5526, 0.7500)  3 Al 2.59-2.65
Pd (0.5526, 0.4474, 0.2500)  3 Al 2.59-2.65
Pd (0.6516, 0.3484, 0.0314)  8 Pd 2.74-2.85, 3 Pt 2.80
Pd (0.6516, 0.3484, 0.4686)  8 Pd 2.74-2.85, 3 Pt 2.80
Pd (0.9601, 0.0399, 0.0949)  1 Al 2.44, 1 Pt 2.71
Pd (0.9601, 0.0399, 0.4051)  1 Al 2.44, 1 Pt 2.71
Pt (0.2546, 0.7454, 0.1543)  2 Al 2.54, 6 Pd 2.71-2.80, 1 Pt 2.76
Pt (0.2546, 0.7454, 0.3457)  2 Al 2.54, 6 Pd 2.71-2.80, 1 Pt 2.76
Pt (0.7454, 0.2546, 0.6543)  2 Al 2.54, 6 Pd 2.71-2.80, 1 Pt 2.76
Pt (0.7454, 0.2546, 0.8457)  2 Al 2.54, 6 Pd 2.71-2.80, 1 Pt 2.76

SG = Cmcm (63)



| no. | total DFT energy (no corrections) (eV/atom) | total magnetization (μB/f.u.) |
| --- | --- | --- |
| 1 | -5.432 | 0.0 |
| 2 | -5.800 | 0.0 |
| 3 | -5.683 | 0.0 |
| 4 | -5.630 | 0.0 |
| 5 | -4.807 | 0.0 |
| 6 | -5.595 | 0.0 |
| 7 | -5.526 | 0.0 |
| 8 | -5.539 | 0.0 |